The following is a GGA+U calculation of Rb2Pr2MgW4O16 after structural relaxation, from Alexandria.

VASP energy (eV/cell): -179.99
Space group: P1 (1)
Magnetic moment (μB per formula unit): 2.0
Density of states at the Fermi level (states/eV per cell): 0.0

a = 7.592 Å, b = 7.614 Å, c = 8.295 Å
α = 87.35°, β = 63.02°, γ = 61.58°
Fractional coordinates of all 25 atoms:
Rb (0.000, 0.000, 0.000)
Rb (0.391, 0.495, 0.745)
Pr (0.454, 0.006, 0.075)
Pr (0.918, 0.511, 0.677)
Mg (0.567, 0.253, 0.363)
W (0.367, 0.576, 0.191)
W (0.489, 0.948, 0.557)
W (0.873, 0.552, 0.204)
W (0.986, 0.957, 0.556)
O (0.070, 0.283, 0.186)
O (0.106, 0.624, 0.148)
O (0.148, 0.634, 0.462)
O (0.201, 0.899, 0.288)
O (0.236, 0.888, 0.606)
O (0.299, 0.240, 0.555)
O (0.414, 0.980, 0.803)
O (0.495, 0.275, 0.153)
O (0.534, 0.624, 0.964)
O (0.620, 0.486, 0.271)
O (0.625, 0.869, 0.274)
O (0.738, 0.037, 0.482)
O (0.738, 0.636, 0.484)
O (0.821, 0.896, 0.777)
O (0.868, 0.231, 0.631)
O (0.925, 0.551, 0.963)